Record 1
SiHg2Os | GGA-PBE | relaxed

The structure in POSCAR format:
```
SiHg2Os
1.0
-1.9542 1.9542 4.6224
1.9542 -1.9542 4.6224
1.9542 1.9542 -4.6224
Si Hg Os
1 2 1
Direct
0.0000 0.0000 0.0000
0.2500 0.7500 0.5000
0.7500 0.2500 0.5000
0.5000 0.5000 0.0000
```

As for the uncorrected formation energy: 0.781 eV/atom. The magnetic moment comes out at 0.000 μB per atom. Its total energy is -3.5326 eV/atom.

***

Record 2
Rb4H2Se | GGA-PBE | relaxed

The structure in POSCAR format:
```
Rb4H2Se
1.0
-5.0522 5.0522 4.8417
5.0522 -5.0522 4.8417
5.0522 5.0522 -4.8417
Rb H Se
8 4 2
Direct
0.0051 0.8237 0.1774
0.1037 0.4263 0.6814
0.1723 0.9949 0.8186
0.1763 0.3537 0.1814
0.5737 0.2551 0.6774
0.5777 0.8963 0.3226
0.6463 0.8277 0.8226
0.7449 0.4223 0.3186
0.3750 0.1228 0.2478
0.8728 0.6250 0.7478
0.8750 0.1272 0.7522
0.8772 0.1250 0.2522
0.2500 0.7500 0.5000
0.5000 0.5000 0.0000
```

The magnetic moment comes out at 0.009 μB per atom. Its total energy is -2.5227 eV/atom.

***

Record 3
MgTlGeB2 | GGA-PBE | relaxed

The structure in POSCAR format:
```
MgTlGeB2
1.0
4.2157 0.0000 0.0000
0.0000 4.2157 0.0000
0.0000 0.0000 5.3742
Mg Tl Ge B
1 1 1 2
Direct
0.0000 0.0000 0.0000
0.5000 0.5000 0.0000
0.0000 0.0000 0.5000
0.0000 0.5000 0.5000
0.5000 0.0000 0.5000
```

The magnetic moment comes out at 0.000 μB per atom. The formation enthalpy at 0 K is 1231 meV/atom. Its total energy is -3.1558 eV/atom.

***

Record 4
ReNiHg | GGA-PBE | relaxed

The structure in POSCAR format:
```
ReNiHg
1.0
4.4102 -1.8944 0.0000
4.4102 1.8944 0.0000
-1.8259 0.0000 5.6687
Re Ni Hg
2 2 2
Direct
0.0000 0.0000 0.0000
0.6562 0.6562 0.8952
0.0085 0.0085 0.5883
0.3420 0.3420 0.7432
0.3431 0.3431 0.2340
0.6736 0.6736 0.4279
```

The magnetic moment comes out at 0.000 μB per atom. The formation enthalpy at 0 K is 433 meV/atom. As for the offset from the most stable computed form: 177 meV/atom. Its total energy is -5.7440 eV/atom.

***

Record 5
Ta2ReIr | GGA-PBE | relaxed

The structure in POSCAR format:
```
Ta2ReIr
1.0
2.8438 -4.3835 0.0000
2.8438 4.3835 0.0000
-0.9207 0.0000 2.6274
Ta Re Ir
2 1 1
Direct
0.0000 0.5000 0.0000
0.5000 0.0000 0.0000
0.0000 0.0000 0.5000
0.5000 0.5000 0.5000
```

The magnetic moment comes out at 0.000 μB per atom. The formation enthalpy at 0 K is -198 meV/atom. Its total energy is -11.4520 eV/atom.

***

Record 6
Os2PbC | GGA-PBE | relaxed

The structure in POSCAR format:
```
Os2PbC
1.0
0.0000 3.1123 3.1123
3.1123 0.0000 3.1123
3.1123 3.1123 0.0000
Os Pb C
2 1 1
Direct
0.2500 0.2500 0.2500
0.7500 0.7500 0.7500
0.0000 0.0000 0.0000
0.5000 0.5000 0.5000
```

The magnetic moment comes out at 0.000 μB per atom. The formation enthalpy at 0 K is 2119 meV/atom. As for the offset from the most stable computed form: 1046 meV/atom. Its total energy is -6.7290 eV/atom.

***

Record 7
BaTl4Hg | GGA-PBE | relaxed

The structure in POSCAR format:
```
BaTl4Hg
1.0
0.0000 4.6480 4.6480
4.6480 0.0000 4.6480
4.6480 4.6480 0.0000
Ba Tl Hg
1 4 1
Direct
0.0000 0.0000 0.0000
0.1269 0.6244 0.6244
0.6244 0.1269 0.6244
0.6244 0.6244 0.1269
0.6244 0.6244 0.6244
0.2500 0.2500 0.2500
```

The magnetic moment comes out at 0.000 μB per atom. The formation enthalpy at 0 K is -145 meV/atom. As for the offset from the most stable computed form: 87 meV/atom. Its total energy is -2.0930 eV/atom.

***

Record 8
KLaIn2Cl6 | GGA-PBE | relaxed

The structure in POSCAR format:
```
KLaIn2Cl6
1.0
7.9078 0.0000 0.0000
-3.9538 6.8577 0.0000
-3.9520 -2.2842 6.6990
K La In Cl
1 1 2 6
Direct
0.0000 0.0000 0.0000
0.0150 0.5074 0.5223
0.4204 0.2101 0.6306
0.4275 0.7136 0.1414
0.1486 0.7700 0.3159
0.1805 0.8600 0.7978
0.4778 0.6171 0.7970
0.5458 0.3784 0.3167
0.9376 0.1671 0.3164
0.9378 0.3203 0.7979
```

As for the uncorrected formation energy: -1.687 eV/atom. The magnetic moment comes out at 0.000 μB per atom. Its total energy is -3.9447 eV/atom.

***

The lowest total energy belongs to which entry?
Ta2ReIr

***

Look up the total energy of the first one.
-3.5326 eV/atom

***

Which value of total energy does entry 4 give?
-5.7440 eV/atom